[1]
# UTe6Pd2

An optimized crystal structure of UTe6Pd2 (GGA-PBE, Alexandria via LeMat-Bulk).

POSCAR file:
```
UTe6Pd2
1.0
-3.3350 5.9141 -4.4728
-0.2328 -4.9638 -6.4300
-7.3561 -3.2635 1.1295
Te Pd U
12 4 2
Direct
0.5659 0.9478 0.8448 Te
0.9223 0.4701 0.3359 Te
0.8206 0.9720 0.4971 Te
0.1794 0.0280 0.5029 Te
0.6794 0.5029 0.0280 Te
0.4223 0.3359 0.4701 Te
0.4341 0.0522 0.1552 Te
0.5777 0.6641 0.5299 Te
0.0659 0.8448 0.9478 Te
0.3206 0.4971 0.9720 Te
0.9341 0.1552 0.0522 Te
0.0777 0.5299 0.6641 Te
0.8169 0.7181 0.7651 Pd
0.6831 0.2349 0.2819 Pd
0.1831 0.2819 0.2349 Pd
0.3169 0.7651 0.7181 Pd
0.7500 0.8179 0.1821 U
0.2500 0.1821 0.8179 U
```

Results
* uncorrected energy: -86.24 eV/cell
* energy relative to the elements, uncorrected: -0.288 eV/atom



[2]
# Er3Pb2C

An optimized crystal structure of Er3Pb2C (GGA-PBE, Alexandria via LeMat-Bulk).

POSCAR file:
```
Er3Pb2C
1.0
-2.9500 -0.1803 -5.8059
5.3860 -4.5389 -1.2170
-4.8724 -3.4153 3.9605
Pb Er C
4 6 2
Direct
0.2500 0.9354 0.0646 Pb
0.7500 0.7942 0.2058 Pb
0.2500 0.2058 0.7942 Pb
0.7500 0.0646 0.9354 Pb
0.0009 0.2672 0.4105 Er
0.0000 0.5000 0.0000 Er
0.4991 0.5895 0.7328 Er
0.5000 0.0000 0.5000 Er
0.5009 0.4105 0.2672 Er
0.9991 0.7328 0.5895 Er
0.7500 0.4324 0.5676 C
0.2500 0.5676 0.4324 C
```

Results
* uncorrected energy: -63.91 eV/cell



[3]
# TbCeTlRu

An optimized crystal structure of TbCeTlRu (GGA-PBE, Alexandria via LeMat-Bulk).

POSCAR file:
```
TbCeTlRu
1.0
5.1554 0.0000 0.0000
2.5777 4.4647 0.0000
2.5777 1.4882 4.2093
Tb Ru Ce Tl
1 1 1 1
Direct
0.5000 0.5000 0.5000 Tb
0.7500 0.7500 0.7500 Ru
0.0000 0.0000 0.0000 Ce
0.2500 0.2500 0.2500 Tl
```

Results
* uncorrected energy: -22.82 eV/cell
* offset from the most stable computed form: 0.212 eV/atom



[4]
# CsGe3Pt3

An optimized crystal structure of CsGe3Pt3 (GGA-PBE, Alexandria via LeMat-Bulk).

POSCAR file:
```
CsGe3Pt3
1.0
-6.5989 -2.3005 -0.6437
2.0674 -6.4471 1.8472
-1.1969 1.5473 6.7398
Cs Pt Ge
2 6 6
Direct
0.0000 0.0000 0.0000 Cs
0.5000 0.5000 0.5000 Cs
0.5000 0.2500 0.0000 Pt
0.2500 0.0000 0.5000 Pt
0.0000 0.5000 0.2500 Pt
0.7500 0.0000 0.5000 Pt
0.0000 0.5000 0.7500 Pt
0.5000 0.7500 0.0000 Pt
0.5000 0.0000 0.7500 Ge
0.0000 0.2500 0.5000 Ge
0.2500 0.5000 0.0000 Ge
0.7500 0.5000 0.0000 Ge
0.5000 0.0000 0.2500 Ge
0.0000 0.7500 0.5000 Ge
```

Results
* uncorrected energy: -70.80 eV/cell
* offset from the most stable computed form: 0.048 eV/atom



[5]
# In3C

An optimized crystal structure of In3C (GGA-PBE, Alexandria via LeMat-Bulk).

POSCAR file:
```
In3C
1.0
3.4933 0.0000 0.0000
-1.7467 3.0253 0.0000
0.0000 0.0000 8.0307
In C
3 1
Direct
0.6667 0.3333 0.8252 In
0.6667 0.3333 0.1748 In
0.0000 0.0000 0.5000 In
0.0000 0.0000 0.0000 C
```

Results
* uncorrected energy: -14.14 eV/cell



[6]
# Y2TaIr

An optimized crystal structure of Y2TaIr (GGA-PBE, Alexandria via LeMat-Bulk).

POSCAR file:
```
Y2TaIr
1.0
-1.3171 3.0344 -0.3378
-0.8190 0.0082 3.2675
6.1958 3.2493 5.0305
Ir Y Ta
1 2 1
Direct
0.5000 0.2500 0.2500 Ir
0.0000 0.5283 0.4712 Y
0.0000 0.9717 0.0288 Y
0.5000 0.7500 0.7500 Ta
```

Results
* uncorrected energy: -33.99 eV/cell
* offset from the most stable computed form: 0.156 eV/atom